DFT (PBE) results for crystalline CsZn3C at its relaxed geometry.

distance to the lowest polymorph of the same formula: 0.00 eV per formula unit
total magnetic moment: 0.000 μB per atom
total DFT energy (no corrections): -8.94 eV/cell
energy relative to the elements: 991 meV per atom
crystal system: cubic

Cell lengths 4.798, 4.798, 4.798 Å; angles 90.00, 90.00, 90.00 degrees
Atoms (fractional coordinates):
Cs 0.000 0.000 0.000
Zn 0.000 0.500 0.500
Zn 0.500 0.000 0.500
Zn 0.500 0.500 0.000
C 0.500 0.500 0.500

DFT (PBE) results for crystalline Ho6Ga2Rh at its relaxed geometry.

total magnetic moment: 0.000 μB per atom
total DFT energy (no corrections): -44.20 eV/cell
energy relative to the elements: -370 meV per atom
crystal system: orthorhombic

Cell lengths 8.425, 8.425, 8.425 Å; angles 146.23, 131.14, 60.71 degrees
Atoms (fractional coordinates):
Ho 0.085 0.340 0.745
Ho 0.239 0.000 0.239
Ho 0.405 0.660 0.745
Ho 0.595 0.340 0.255
Ho 0.761 0.000 0.761
Ho 0.915 0.660 0.255
Ga 0.332 0.832 0.500
Ga 0.668 0.168 0.500
Rh 0.000 0.500 0.500

DFT (PBE) results for crystalline Pm2Sn2Ir at its relaxed geometry.

distance to the lowest polymorph of the same formula: 0.00 eV per formula unit
total magnetic moment: 0.000 μB per atom
total DFT energy (no corrections): -60.55 eV/cell
energy relative to the elements: -782 meV per atom
crystal system: monoclinic

Cell lengths 6.065, 6.065, 11.174 Å; angles 114.25, 114.25, 44.21 degrees
Atoms (fractional coordinates):
Pm 0.001 0.001 0.171
Pm 0.188 0.188 0.628
Pm 0.812 0.812 0.372
Pm 0.999 0.999 0.829
Sn 0.342 0.342 0.952
Sn 0.474 0.474 0.618
Sn 0.526 0.526 0.382
Sn 0.658 0.658 0.048
Ir 0.276 0.276 0.173
Ir 0.724 0.724 0.827

DFT (PBE) results for crystalline LaPuCuGe at its relaxed geometry.

total magnetic moment: 1.541 μB per atom
total DFT energy (no corrections): -29.18 eV/cell
energy relative to the elements: -301 meV per atom
crystal system: cubic

Cell lengths 5.132, 5.132, 5.132 Å; angles 60.00, 60.00, 60.00 degrees
Atoms (fractional coordinates):
La 0.000 0.000 0.000
Pu 0.500 0.500 0.500
Cu 0.750 0.750 0.750
Ge 0.250 0.250 0.250

DFT (PBE) results for crystalline RhWBr2 at its relaxed geometry.

formation energy without anion corrections: 1172 meV per atom
distance to the lowest polymorph of the same formula: 4.40 eV per formula unit
total magnetic moment: 0.407 μB per atom
total DFT energy (no corrections): -18.96 eV/cell
crystal system: cubic

Cell lengths 4.720, 4.720, 4.720 Å; angles 60.00, 60.00, 60.00 degrees
Atoms (fractional coordinates):
Rh 0.000 0.000 0.000
W 0.750 0.750 0.750
Br 0.250 0.250 0.250
Br 0.500 0.500 0.500

DFT (PBE) results for crystalline LaTb2Nd5Dy at its relaxed geometry.

total magnetic moment: 0.000 μB per atom
total DFT energy (no corrections): -82.64 eV/cell
energy relative to the elements: 145 meV per atom
crystal system: orthorhombic

Cell lengths 10.578, 10.578, 10.722 Å; angles 90.00, 90.00, 148.46 degrees
Atoms (fractional coordinates):
La 0.085 0.915 0.500
La 0.915 0.085 0.000
Tb 0.384 0.616 0.367
Tb 0.386 0.614 0.781
Tb 0.614 0.386 0.281
Tb 0.616 0.384 0.867
Nd 0.020 0.980 0.789
Nd 0.115 0.885 0.071
Nd 0.204 0.796 0.754
Nd 0.220 0.780 0.362
Nd 0.483 0.517 0.071
Nd 0.517 0.483 0.571
Nd 0.780 0.220 0.862
Nd 0.796 0.204 0.254
Nd 0.885 0.115 0.571
Nd 0.980 0.020 0.289
Dy 0.300 0.700 0.058
Dy 0.700 0.300 0.558

DFT (PBE) results for crystalline ReW2Cl at its relaxed geometry.

formation energy without anion corrections: 1496 meV per atom
distance to the lowest polymorph of the same formula: 4.37 eV per formula unit
total magnetic moment: 0.000 μB per atom
total DFT energy (no corrections): -34.22 eV/cell
crystal system: tetragonal

Cell lengths 3.818, 3.818, 4.413 Å; angles 90.00, 90.00, 90.00 degrees
Atoms (fractional coordinates):
Re 0.000 0.000 0.000
W 0.000 0.500 0.500
W 0.500 0.000 0.500
Cl 0.500 0.500 0.000

DFT (PBE) results for crystalline PmPaFeRu at its relaxed geometry.

total magnetic moment: 0.159 μB per atom
total DFT energy (no corrections): -32.08 eV/cell
energy relative to the elements: -23 meV per atom
crystal system: cubic

Cell lengths 4.849, 4.849, 4.849 Å; angles 60.00, 60.00, 60.00 degrees
Atoms (fractional coordinates):
Pm 0.000 0.000 0.000
Pa 0.500 0.500 0.500
Fe 0.750 0.750 0.750
Ru 0.250 0.250 0.250

DFT (PBE) results for crystalline Na2Hf2CrTe6 at its relaxed geometry.

formation energy without anion corrections: -707 meV per atom
total magnetic moment: 0.306 μB per atom
total DFT energy (no corrections): -58.80 eV/cell
crystal system: monoclinic

Cell lengths 7.043, 7.043, 8.116 Å; angles 98.53, 98.53, 120.15 degrees
Atoms (fractional coordinates):
Na 0.167 0.833 0.000
Na 0.833 0.167 0.000
Hf 0.328 0.672 0.500
Hf 0.672 0.328 0.500
Cr 0.000 0.000 0.500
Te 0.081 0.402 0.718
Te 0.252 0.252 0.291
Te 0.402 0.081 0.718
Te 0.598 0.919 0.282
Te 0.748 0.748 0.709
Te 0.919 0.598 0.282

DFT (PBE) results for crystalline NdSmBr3 at its relaxed geometry.

formation energy without anion corrections: -1520 meV per atom
total magnetic moment: 0.000 μB per atom
total DFT energy (no corrections): -44.22 eV/cell
crystal system: monoclinic

Cell lengths 8.955, 8.955, 11.359 Å; angles 120.30, 120.30, 26.28 degrees
Atoms (fractional coordinates):
Nd 0.138 0.138 0.288
Nd 0.862 0.862 0.712
Sm 0.420 0.420 0.045
Sm 0.580 0.580 0.955
Br 0.042 0.042 0.742
Br 0.222 0.222 0.119
Br 0.340 0.340 0.493
Br 0.660 0.660 0.507
Br 0.778 0.778 0.881
Br 0.958 0.958 0.258

DFT (PBE) results for crystalline BaLaSc at its relaxed geometry.

distance to the lowest polymorph of the same formula: 0.30 eV per formula unit
total magnetic moment: 0.000 μB per atom
total DFT energy (no corrections): -24.71 eV/cell
energy relative to the elements: 276 meV per atom
crystal system: triclinic

Cell lengths 5.683, 6.048, 7.424 Å; angles 90.35, 112.47, 90.09 degrees
Atoms (fractional coordinates):
Ba 0.000 0.000 0.000
Ba 0.500 0.500 0.000
La 0.197 0.566 0.394
La 0.803 0.434 0.606
Sc 0.303 0.065 0.605
Sc 0.697 0.935 0.395

DFT (PBE) results for crystalline CeNd6Tm4 at its relaxed geometry.

total magnetic moment: 0.092 μB per atom
total DFT energy (no corrections): -101.89 eV/cell
energy relative to the elements: 135 meV per atom
crystal system: orthorhombic

Cell lengths 5.648, 5.648, 25.992 Å; angles 90.00, 90.00, 117.88 degrees
Atoms (fractional coordinates):
Ce 0.204 0.796 0.750
Ce 0.796 0.204 0.250
Nd 0.128 0.872 0.180
Nd 0.128 0.872 0.320
Nd 0.195 0.805 0.599
Nd 0.195 0.805 0.901
Nd 0.458 0.542 0.250
Nd 0.500 0.500 0.000
Nd 0.500 0.500 0.500
Nd 0.542 0.458 0.750
Nd 0.805 0.195 0.099
Nd 0.805 0.195 0.401
Nd 0.872 0.128 0.680
Nd 0.872 0.128 0.820
Tm 0.154 0.846 0.043
Tm 0.154 0.846 0.457
Tm 0.462 0.538 0.124
Tm 0.462 0.538 0.376
Tm 0.538 0.462 0.624
Tm 0.538 0.462 0.876
Tm 0.846 0.154 0.543
Tm 0.846 0.154 0.957